First-principles (PBE) data for a relaxed structure of DyZnHg2, as listed in the Alexandria database.

Electronic total energy: -1.8914 eV per atom
ΔE_f: -272 meV/atom
V: 22.718 Å³ per atom
Polymorph energy (0 for the lowest one): 0.028 eV/atom
DOS at the Fermi energy: 0.72 states/eV per atom

Lattice parameters (Å, degrees): 4.555 4.555 4.381 90.00 90.00 90.00
Fractional coordinates of all 4 atoms:
Dy (0.000, 0.000, 0.000)
Zn (0.500, 0.500, 0.000)
Hg (0.000, 0.500, 0.500)
Hg (0.500, 0.000, 0.500)

First-principles (PBE) data for a relaxed structure of AcMnH5, as listed in the Alexandria database.

Electronic total energy: -4.5632 eV per atom
V: 10.106 Å³ per atom
DOS at the Fermi energy: 0.43 states/eV per atom

Lattice parameters (Å, degrees): 4.773 4.773 4.773 131.88 114.13 85.62
Fractional coordinates of all 7 atoms:
Ac (0.000, 0.000, 0.000)
Mn (0.500, 0.500, 0.000)
H (0.105, 0.340, 0.765)
H (0.425, 0.660, 0.765)
H (0.500, 0.000, 0.500)
H (0.575, 0.340, 0.235)
H (0.895, 0.660, 0.235)

First-principles (PBE) data for a relaxed structure of Na2GaAs2Pd5, as listed in the Alexandria database.

Electronic total energy: -4.5333 eV per atom
ΔE_f: -441 meV/atom
V: 17.530 Å³ per atom
DOS at the Fermi energy: 0.29 states/eV per atom

Lattice parameters (Å, degrees): 10.492 10.492 3.185 90.00 90.00 90.00
Fractional coordinates of all 20 atoms:
Na (0.173, 0.327, 0.000)
Na (0.327, 0.827, 0.000)
Na (0.673, 0.173, 0.000)
Na (0.827, 0.673, 0.000)
Ga (0.000, 0.000, 0.000)
Ga (0.500, 0.500, 0.000)
As (0.133, 0.633, 0.000)
As (0.367, 0.133, 0.000)
As (0.633, 0.867, 0.000)
As (0.867, 0.367, 0.000)
Pd (0.000, 0.500, 0.500)
Pd (0.054, 0.808, 0.500)
Pd (0.192, 0.054, 0.500)
Pd (0.308, 0.554, 0.500)
Pd (0.446, 0.308, 0.500)
Pd (0.500, 0.000, 0.500)
Pd (0.554, 0.692, 0.500)
Pd (0.692, 0.446, 0.500)
Pd (0.808, 0.946, 0.500)
Pd (0.946, 0.192, 0.500)

First-principles (PBE) data for a relaxed structure of NaLiCuCl4, as listed in the Alexandria database.

Electronic total energy: -3.2539 eV per atom
V: 24.121 Å³ per atom
ΔE_f (raw): -1152 meV per atom
DOS at the Fermi energy: 0.80 states/eV per atom

Lattice parameters (Å, degrees): 6.283 7.258 7.557 90.00 101.51 90.00
Fractional coordinates of all 14 atoms:
Na (0.208, 0.250, 0.085)
Na (0.792, 0.750, 0.915)
Li (0.269, 0.250, 0.655)
Li (0.731, 0.750, 0.345)
Cu (0.234, 0.750, 0.318)
Cu (0.766, 0.250, 0.682)
Cl (0.018, 0.024, 0.748)
Cl (0.018, 0.476, 0.748)
Cl (0.435, 0.750, 0.092)
Cl (0.496, 0.250, 0.438)
Cl (0.504, 0.750, 0.562)
Cl (0.565, 0.250, 0.908)
Cl (0.982, 0.524, 0.252)
Cl (0.982, 0.976, 0.252)

First-principles (PBE) data for a relaxed structure of TlCrGeCl6, as listed in the Alexandria database.

Electronic total energy: -4.0641 eV per atom
V: 29.667 Å³ per atom
ΔE_f (raw): -988 meV per atom

Lattice parameters (Å, degrees): 6.650 6.650 6.971 90.00 90.00 120.00
Fractional coordinates of all 9 atoms:
Tl (0.000, 0.000, 0.000)
Cr (0.667, 0.333, 0.500)
Ge (0.333, 0.667, 0.500)
Cl (0.387, 0.035, 0.699)
Cl (0.387, 0.351, 0.301)
Cl (0.649, 0.035, 0.301)
Cl (0.649, 0.613, 0.699)
Cl (0.965, 0.351, 0.699)
Cl (0.965, 0.613, 0.301)

First-principles (PBE) data for a relaxed structure of CdCoTc2, as listed in the Alexandria database.

Electronic total energy: -6.7410 eV per atom
ΔE_f: 447 meV/atom
V: 15.096 Å³ per atom
DOS at the Fermi energy: 0.97 states/eV per atom

Lattice parameters (Å, degrees): 5.063 5.063 5.063 143.90 126.83 65.95
Fractional coordinates of all 4 atoms:
Cd (0.000, 0.000, 0.000)
Co (0.744, 0.244, 0.500)
Tc (0.277, 0.777, 0.500)
Tc (0.508, 0.508, 0.000)

First-principles (PBE) data for a relaxed structure of RePbO2, as listed in the Alexandria database.

Electronic total energy: -7.1147 eV per atom
V: 15.873 Å³ per atom
ΔE_f (raw): -597 meV per atom
DOS at the Fermi energy: 0.31 states/eV per atom

Lattice parameters (Å, degrees): 7.957 7.957 7.957 22.28 22.28 22.28
Fractional coordinates of all 4 atoms:
Re (0.000, 0.000, 0.000)
Pb (0.500, 0.500, 0.500)
O (0.077, 0.077, 0.077)
O (0.923, 0.923, 0.923)

First-principles (PBE) data for a relaxed structure of Hf2Sb2Se, as listed in the Alexandria database.

Electronic total energy: -6.8682 eV per atom
V: 22.811 Å³ per atom
Polymorph energy (0 for the lowest one): 0.024 eV/atom
ΔE_f (raw): -541 meV per atom
DOS at the Fermi energy: 0.17 states/eV per atom

Lattice parameters (Å, degrees): 7.591 7.591 3.959 90.00 90.00 90.00
Fractional coordinates of all 10 atoms:
Hf (0.156, 0.344, 0.000)
Hf (0.344, 0.844, 0.000)
Hf (0.656, 0.156, 0.000)
Hf (0.844, 0.656, 0.000)
Sb (0.143, 0.643, 0.500)
Sb (0.357, 0.143, 0.500)
Sb (0.643, 0.857, 0.500)
Sb (0.857, 0.357, 0.500)
Se (0.000, 0.000, 0.000)
Se (0.500, 0.500, 0.000)

First-principles (PBE) data for a relaxed structure of La3Y4Tm4, as listed in the Alexandria database.

Electronic total energy: -4.9800 eV per atom
ΔE_f: 340 meV/atom
V: 35.482 Å³ per atom
DOS at the Fermi energy: 1.84 states/eV per atom

Lattice parameters (Å, degrees): 9.609 9.609 9.609 149.35 119.04 69.78
Fractional coordinates of all 11 atoms:
La (0.000, 0.000, 0.000)
La (0.383, 0.883, 0.500)
La (0.617, 0.117, 0.500)
Y (0.002, 0.322, 0.680)
Y (0.358, 0.678, 0.680)
Y (0.642, 0.322, 0.320)
Y (0.998, 0.678, 0.320)
Tm (0.256, 0.256, 0.000)
Tm (0.338, 0.500, 0.838)
Tm (0.662, 0.500, 0.162)
Tm (0.744, 0.744, 0.000)

First-principles (PBE) data for a relaxed structure of Er6US12, as listed in the Alexandria database.

Electronic total energy: -6.4871 eV per atom
V: 23.950 Å³ per atom
ΔE_f (raw): -1845 meV per atom

Lattice parameters (Å, degrees): 7.799 7.799 7.799 98.92 98.92 98.92
Fractional coordinates of all 19 atoms:
Er (0.131, 0.828, 0.645)
Er (0.172, 0.355, 0.869)
Er (0.355, 0.869, 0.172)
Er (0.645, 0.131, 0.828)
Er (0.828, 0.645, 0.131)
Er (0.869, 0.172, 0.355)
U (0.500, 0.500, 0.500)
S (0.080, 0.919, 0.323)
S (0.081, 0.677, 0.920)
S (0.178, 0.419, 0.531)
S (0.323, 0.080, 0.919)
S (0.419, 0.531, 0.178)
S (0.469, 0.822, 0.581)
S (0.531, 0.178, 0.419)
S (0.581, 0.469, 0.822)
S (0.677, 0.920, 0.081)
S (0.822, 0.581, 0.469)
S (0.919, 0.323, 0.080)
S (0.920, 0.081, 0.677)

First-principles (PBE) data for a relaxed structure of CsCdGe2, as listed in the Alexandria database.

Electronic total energy: -2.6082 eV per atom
ΔE_f: 143 meV/atom
V: 35.953 Å³ per atom
DOS at the Fermi energy: 0.52 states/eV per atom

Lattice parameters (Å, degrees): 10.390 10.390 10.390 149.53 149.53 43.63
Fractional coordinates of all 8 atoms:
Cs (0.375, 0.625, 0.750)
Cs (0.625, 0.375, 0.250)
Cd (0.125, 0.875, 0.250)
Cd (0.875, 0.125, 0.750)
Ge (0.000, 0.000, 0.000)
Ge (0.000, 0.000, 0.500)
Ge (0.000, 0.500, 0.000)
Ge (0.500, 0.000, 0.500)

Calculated mass density (Mg/m³), listed in the same order as above: 11.495; 6.736; 7.556; 2.314; 3.369; 10.102; 11.126; 9.892; 6.161; 5.935; 4.510
Calculated total moment (Bohr magnetons per cell), listed in the same order as above: 0.0; 2.0; 0.0; 2.0; 3.0; 1.5; 0.0; 0.0; 0.0; 0.0; 0.0